The following is a GGA-PBE calculation of a relaxed TlCuIO2 crystal, from the Alexandria database. Values from VASP.

Properties
The volume comes out at 18.98 Å³/atom. The value obtained for the energy above the most stable polymorph in this dataset is 0.000 eV/atom. As for the formation energy without anion corrections: 0.228 eV per atom. As for the density: 7.47 g/cm³. As for the space group: P4/mmm (123).

Cell and atoms, written as Quantum ESPRESSO input:
```
&SYSTEM
  ibrav = 0, nat = 5, ntyp = 4
/
ATOMIC_SPECIES
O 16.00 O.upf
Tl 204.38 Tl.upf
Cu 63.55 Cu.upf
I 126.90 I.upf
ATOMIC_POSITIONS crystal
O 0.000 0.500 0.000
Tl 0.500 0.500 0.500
Cu 0.000 0.000 0.000
O 0.500 0.000 0.000
I 0.000 0.000 0.500
CELL_PARAMETERS angstrom
-0.613 -0.326 4.169
-3.348 -2.487 -0.687
3.149 -4.276 0.129
```

The following is a GGA-PBE calculation of a relaxed TlCuIO2 crystal, from the Alexandria database. Values from VASP.

Properties
The volume comes out at 23.58 Å³/atom. The value obtained for the energy above the most stable polymorph in this dataset is 0.040 eV/atom. As for the formation energy without anion corrections: 0.268 eV per atom. As for the density: 6.01 g/cm³. As for the space group: P4/mmm (123).

Cell and atoms, written as Quantum ESPRESSO input:
```
&SYSTEM
  ibrav = 0, nat = 5, ntyp = 4
/
ATOMIC_SPECIES
I 126.90 I.upf
Tl 204.38 Tl.upf
O 16.00 O.upf
Cu 63.55 Cu.upf
ATOMIC_POSITIONS crystal
I 0.000 0.000 0.500
Tl 0.000 0.000 0.000
O 0.000 0.500 0.000
O 0.500 0.000 0.000
Cu 0.500 0.500 0.500
CELL_PARAMETERS angstrom
4.083 0.000 0.000
0.000 4.083 0.000
0.000 0.000 7.071
```

The following is a GGA-PBE calculation of a relaxed TlCu2IO6 crystal, from the Alexandria database. Values from VASP.

Properties
The volume comes out at 13.59 Å³/atom. As for the formation energy without anion corrections: -0.293 eV per atom. As for the density: 6.77 g/cm³. As for the space group: C2/c (15).

Cell and atoms, written as Quantum ESPRESSO input:
```
&SYSTEM
  ibrav = 0, nat = 20, ntyp = 4
/
ATOMIC_SPECIES
Cu 63.55 Cu.upf
O 16.00 O.upf
I 126.90 I.upf
Tl 204.38 Tl.upf
ATOMIC_POSITIONS crystal
Cu 0.199 0.330 0.276
Cu 0.699 0.276 0.330
O 0.573 0.120 0.632
I 0.750 0.745 0.255
O 0.073 0.632 0.120
O 0.434 0.423 0.260
O 0.427 0.880 0.368
O 0.690 0.809 0.991
O 0.566 0.577 0.740
O 0.927 0.368 0.880
O 0.066 0.740 0.577
Tl 0.250 0.802 0.198
Cu 0.301 0.724 0.670
O 0.810 0.009 0.191
I 0.250 0.255 0.745
O 0.934 0.260 0.423
O 0.310 0.191 0.009
Cu 0.801 0.670 0.724
O 0.190 0.991 0.809
Tl 0.750 0.198 0.802
CELL_PARAMETERS angstrom
-0.416 -6.516 -2.016
5.794 -3.388 1.465
-0.906 -4.172 5.382
```

The following is a GGA-PBE calculation of a relaxed TlCuIO6 crystal, from the Alexandria database. Values from VASP.

Properties
The volume comes out at 12.95 Å³/atom. As for the formation energy without anion corrections: -0.395 eV per atom. As for the density: 6.99 g/cm³. As for the space group: P312 (149).

Cell and atoms, written as Quantum ESPRESSO input:
```
&SYSTEM
  ibrav = 0, nat = 9, ntyp = 4
/
ATOMIC_SPECIES
O 16.00 O.upf
Cu 63.55 Cu.upf
I 126.90 I.upf
Tl 204.38 Tl.upf
ATOMIC_POSITIONS crystal
O 0.279 0.317 0.291
O 0.279 0.974 0.683
Cu 0.500 0.667 0.333
I 0.500 0.000 0.000
O 0.279 0.709 0.026
Tl 0.000 0.333 0.667
O 0.721 0.974 0.291
O 0.721 0.709 0.683
O 0.721 0.317 0.026
CELL_PARAMETERS angstrom
-0.001 4.888 -0.165
-2.895 0.146 4.371
5.235 0.012 0.321
```

The following is a GGA-PBE calculation of a relaxed UCuIO6 crystal, from the Alexandria database. Values from VASP.

Properties
The volume comes out at 13.88 Å³/atom. As for the formation energy without anion corrections: -1.322 eV per atom. As for the density: 6.97 g/cm³. As for the space group: P-31c (163).

Cell and atoms, written as Quantum ESPRESSO input:
```
&SYSTEM
  ibrav = 0, nat = 18, ntyp = 4
/
ATOMIC_SPECIES
O 16.00 O.upf
I 126.90 I.upf
Cu 63.55 Cu.upf
U 238.03 U.upf
ATOMIC_POSITIONS crystal
O 0.651 0.651 0.633
O 0.000 0.349 0.133
I 0.333 0.667 0.250
O 0.349 0.349 0.367
O 0.651 0.651 0.133
O 0.651 0.000 0.867
O 0.000 0.651 0.367
O 0.349 0.349 0.867
O 0.349 0.000 0.133
Cu 0.000 0.000 0.500
O 0.651 0.000 0.367
O 0.349 0.000 0.633
O 0.000 0.349 0.633
U 0.667 0.333 0.250
U 0.333 0.667 0.750
O 0.000 0.651 0.867
I 0.667 0.333 0.750
Cu 0.000 0.000 0.000
CELL_PARAMETERS angstrom
-1.359 -5.340 1.138
5.319 1.736 0.589
-1.701 2.278 8.658
```